[1]
Below is a relaxed structure of Rb2AuCl2F4, with properties calculated at the PBE level.

Values from the calculation:
Formation energy (no corrections) (eV/atom): -1.551
Uncorrected energy (eV/atom): -3.372

a b c (Å): 6.350 6.350 6.350
angles (deg): 113.55 113.55 101.59
Fractional coordinates of all 9 atoms:
Rb 0.250 0.750 0.500
Rb 0.750 0.250 0.500
Au 0.000 0.000 0.000
Cl 0.307 0.307 0.000
Cl 0.693 0.693 0.000
F 0.208 0.208 0.416
F 0.208 0.792 0.000
F 0.792 0.208 0.000
F 0.792 0.792 0.584



[2]
Below is a relaxed structure of LiNbHg, with properties calculated at the PBE level.

Values from the calculation:
Uncorrected energy (eV/atom): -4.020
Energy of formation (kJ per mole of atoms): 7.2

a b c (Å): 8.114 2.892 9.937
angles (deg): 90.00 90.00 90.00
Fractional coordinates of all 12 atoms:
Li 0.180 0.250 0.096
Li 0.320 0.750 0.596
Li 0.680 0.250 0.404
Li 0.820 0.750 0.904
Nb 0.066 0.250 0.398
Nb 0.434 0.750 0.898
Nb 0.566 0.250 0.102
Nb 0.934 0.750 0.602
Hg 0.129 0.250 0.812
Hg 0.371 0.750 0.312
Hg 0.629 0.250 0.688
Hg 0.871 0.750 0.188